A plane-wave DFT calculation with PBE was carried out for crystalline BaTeMo2 at its relaxed geometry.

Unit cell a=3.780 b=3.780 c=7.112 alpha=90.00 beta=90.00 gamma=90.00
Element x y z (fractional)
Ba  0.500  0.500  0.750
Mo  0.000  0.000  0.089
Mo  0.000  0.000  0.411
Te  0.500  0.500  0.250

Calculated values
- Total magnetization: 0.00 μB/cell
- Space group: P4/mmm (123)
- DOS(E_F): 4.20 states/eV/cell

A plane-wave DFT calculation with PBE was carried out for crystalline BaTe3Mo at its relaxed geometry.

Unit cell a=5.484 b=5.484 c=5.484 alpha=90.00 beta=90.00 gamma=90.00
Last column: magnetic moment on the atom in μB.
Element x y z (fractional)
Mo  0.000  0.000  0.000  1.67
Te  0.000  0.500  0.000  0.03
Te  0.000  0.000  0.500  0.00
Te  0.500  0.000  0.000  -0.02
Ba  0.500  0.500  0.500  0.03

Calculated values
- Total magnetization: 2.09 μB/cell
- Space group: Pm-3m (221)
- DOS(E_F): 6.70 states/eV/cell

A plane-wave DFT calculation with PBE was carried out for crystalline BaTeMo at its relaxed geometry.

Unit cell a=5.693 b=5.693 c=5.693 alpha=60.00 beta=60.00 gamma=60.00
Last column: magnetic moment on the atom in μB.
Element x y z (fractional)
Ba  0.250  0.250  0.250  0.17
Mo  0.000  0.000  0.000  4.07
Te  0.500  0.500  0.500  0.10

Calculated values
- Total magnetization: 5.89 μB/cell
- Space group: F-43m (216)
- DOS(E_F): 0.97 states/eV/cell

A plane-wave DFT calculation with PBE was carried out for crystalline BaTe2Mo at its relaxed geometry.

Unit cell a=3.557 b=3.557 c=9.833 alpha=90.00 beta=90.00 gamma=90.00
Last column: magnetic moment on the atom in μB.
Element x y z (fractional)
Ba  0.000  0.000  0.530  -0.01
Mo  0.500  0.500  0.793  0.79
Te  0.000  0.000  0.907  -0.02
Te  0.500  0.500  0.269  0.02

Calculated values
- Total magnetization: 0.91 μB/cell
- Space group: P4mm (99)
- DOS(E_F): 4.94 states/eV/cell

A plane-wave DFT calculation with PBE was carried out for crystalline BaTeMo2 at its relaxed geometry.

Unit cell a=5.331 b=5.331 c=6.063 alpha=79.41 beta=79.41 gamma=39.59
Element x y z (fractional)
Ba  0.250  0.250  0.250
Mo  0.016  0.016  0.878
Mo  0.484  0.484  0.622
Te  0.750  0.750  0.750

Calculated values
- Total magnetization: 0.00 μB/cell
- Space group: C2/m (12)
- DOS(E_F): 3.53 states/eV/cell

A plane-wave DFT calculation with PBE was carried out for crystalline BaTeMo2 at its relaxed geometry.

Unit cell a=4.417 b=4.417 c=7.189 alpha=72.09 beta=72.09 gamma=59.97
Element x y z (fractional)
Ba  0.257  0.257  0.229
Mo  0.055  0.055  0.836
Mo  0.725  0.725  0.824
Te  0.463  0.463  0.611

Calculated values
- Total magnetization: 0.00 μB/cell
- Space group: R3m (160)
- DOS(E_F): 1.59 states/eV/cell

A plane-wave DFT calculation with PBE was carried out for crystalline BaTe2Mo at its relaxed geometry.

Unit cell a=6.030 b=6.030 c=6.030 alpha=136.76 beta=111.77 gamma=84.29
Last column: magnetic moment on the atom in μB.
Element x y z (fractional)
Ba  0.750  0.250  0.500  0.02
Mo  0.250  0.750  0.500  2.94
Te  0.054  0.054  0.000  0.01
Te  0.446  0.446  0.000  0.01

Calculated values
- Total magnetization: 3.84 μB/cell
- Space group: Immm (71)
- DOS(E_F): 1.68 states/eV/cell

A plane-wave DFT calculation with PBE was carried out for crystalline BaTe2Mo at its relaxed geometry.

Unit cell a=6.721 b=6.721 c=8.544 alpha=66.84 beta=66.84 gamma=90.00
Element x y z (fractional)
Mo  0.500  0.500  0.000
Mo  0.250  0.750  0.500
Te  0.520  0.125  0.250
Te  0.230  0.625  0.250
Te  0.375  0.480  0.750
Te  0.875  0.770  0.750
Ba  0.000  0.000  0.000
Ba  0.750  0.250  0.500

Calculated values
- Total magnetization: 0.00 μB/cell
- Space group: I-42d (122)
- DOS(E_F): 5.59 states/eV/cell

A plane-wave DFT calculation with PBE was carried out for crystalline BaTeMo3 at its relaxed geometry.

Unit cell a=5.057 b=5.057 c=5.057 alpha=90.00 beta=90.00 gamma=90.00
Last column: magnetic moment on the atom in μB.
Element x y z (fractional)
Mo  0.000  0.500  0.000  0.93
Mo  0.000  0.000  0.500  0.96
Mo  0.500  0.000  0.000  1.15
Te  0.500  0.500  0.500  -0.08
Ba  0.000  0.000  0.000  0.02

Calculated values
- Total magnetization: 3.43 μB/cell
- Space group: Pm-3m (221)
- DOS(E_F): 7.24 states/eV/cell

A plane-wave DFT calculation with PBE was carried out for crystalline BaTeMo2 at its relaxed geometry.

Unit cell a=4.808 b=4.808 c=10.532 alpha=76.80 beta=76.80 gamma=90.00
Last column: magnetic moment on the atom in μB.
Element x y z (fractional)
Mo  0.307  0.125  0.250  0.41
Mo  0.443  0.625  0.250  0.43
Mo  0.375  0.693  0.750  0.32
Mo  0.875  0.557  0.750  0.34
Te  0.500  0.500  0.000  0.01
Te  0.250  0.750  0.500  0.01
Ba  0.000  0.000  0.000  0.01
Ba  0.750  0.250  0.500  0.01

Calculated values
- Total magnetization: 1.92 μB/cell
- Space group: I-42d (122)
- DOS(E_F): 7.41 states/eV/cell

A plane-wave DFT calculation with PBE was carried out for crystalline BaTe2Mo at its relaxed geometry.

Unit cell a=9.302 b=9.302 c=9.302 alpha=33.01 beta=33.01 gamma=33.01
Last column: magnetic moment on the atom in μB.
Element x y z (fractional)
Mo  0.000  0.000  0.000  3.29
Te  0.101  0.101  0.101  -0.08
Te  0.899  0.899  0.899  -0.08
Ba  0.500  0.500  0.500  0.01

Calculated values
- Total magnetization: 4.00 μB/cell
- Space group: R-3m (166)
- DOS(E_F): 4.11 states/eV/cell

A plane-wave DFT calculation with PBE was carried out for crystalline BaTe2Mo at its relaxed geometry.

Unit cell a=8.141 b=8.141 c=8.141 alpha=152.88 beta=150.69 gamma=40.36
Last column: magnetic moment on the atom in μB.
Element x y z (fractional)
Ba  0.450  0.450  0.000  0.05
Mo  0.205  0.705  0.500  1.62
Te  0.076  0.076  0.000  -0.01
Te  0.770  0.270  0.500  -0.04

Calculated values
- Total magnetization: 1.97 μB/cell
- Space group: Imm2 (44)
- DOS(E_F): 2.53 states/eV/cell

Total energy, record by record: -23.90, -24.20, -13.34, -18.93, -25.02, -26.12, -20.30, -39.73, -22.82, -48.56, -18.62, -20.10 eV for the cell shown